Record 1
Density functional theory data (PBE) for a relaxed structure of La4Te3Pt.

M_tot   0.0 μB/f.u.

Cell lengths 9.2190, 12.9270, 4.4042 Å; angles 90.00, 90.00, 90.00 degrees
Closest atoms and distances in Å follow each position.
Space group Cmmm (No. 65)
Symmetry-distinct sites (fractional):
La 0.0000 0.2444 0.0000 (multiplicity 4)  1 Pt 3.16, 5 Te 3.19-3.30
La 0.2183 0.0000 0.5000 (multiplicity 4)  2 Pt 2.98, 2 Te 3.24
Te 0.0000 0.5000 0.0000 (multiplicity 2)  6 La 3.30-3.41
Te 0.2500 0.2500 0.5000 (multiplicity 4)  6 La 3.19-3.24
Pt 0.0000 0.0000 0.0000 (multiplicity 2)  6 La 2.98-3.16

---

Record 2
Density functional theory data (PBE) for a relaxed structure of La6TePt3.

M_tot   0.0 μB/f.u.

Cell lengths 12.3515, 4.2856, 12.9193 Å; angles 90.00, 110.77, 90.00 degrees
Closest atoms and distances in Å follow each position.
Space group P2_1/m (No. 11)
Symmetry-distinct sites (fractional):
La 0.0365 0.2500 0.3839 (multiplicity 2)  4 Pt 2.93-3.17
La 0.0875 0.2500 0.9255 (multiplicity 2)  3 Pt 2.94-3.03
La 0.2407 0.7500 0.2681 (multiplicity 2)  3 Pt 2.89-3.04
La 0.2601 0.2500 0.6994 (multiplicity 2)  3 Pt 2.99-3.00
La 0.4231 0.7500 0.5584 (multiplicity 2)  3 Pt 2.88-2.99
La 0.4380 0.2500 0.1191 (multiplicity 2)  2 Pt 2.93
Te 0.3024 0.7500 0.9140 (multiplicity 2)  7 La 3.36-3.46
Pt 0.0846 0.2500 0.1590 (multiplicity 2)  6 La 2.89-3.17
Pt 0.1713 0.7500 0.5273 (multiplicity 2)  6 La 2.93-3.16
Pt 0.4927 0.7500 0.2848 (multiplicity 2)  6 La 2.88-3.04

---

Record 3
Density functional theory data (PBE) for a relaxed structure of La2TePt.

M_tot   1.5 μB/f.u.

Cell lengths 4.4111, 4.4111, 23.8194 Å; angles 90.00, 90.00, 120.00 degrees
Closest atoms and distances in Å follow each position.
Space group R3m (No. 160, hexagonal axes)
Symmetry-distinct sites (fractional):
La 0.0000 0.0000 0.0000 (multiplicity 3)  3 Pt 2.95
La 0.0000 0.0000 0.1892 (multiplicity 3)  3 Te 3.19
Te 0.0000 0.0000 0.4419 (multiplicity 3)  3 Pt 2.78
Pt 0.0000 0.0000 0.7289 (multiplicity 3)  3 Te 2.78, 3 La 2.95

---

| no. | raw formation energy (kJ/mol of atoms) |
| --- | --- |
| 1 | -141.7 |
| 2 | -98.5 |
| 3 | -71.9 |